1.
Compound: BeBO2
Source: Alexandria via LeMat-Bulk
Functional: GGA-PBE
Structure: optimized geometry

Cell and atoms, written as POSCAR:
```
BeBO2
1.0
1.238 0.715 5.068
-1.238 0.715 5.068
0.000 -1.430 5.068
Be B O
1 1 2
direct
0.000 0.000 0.000 Be
0.500 0.500 0.500 B
0.109 0.109 0.109 O
0.891 0.891 0.891 O
```

Formation energy without anion corrections in kJ/mol of atoms: -102.6
Total energy in eV/atom: -6.14

2.
Compound: B2OsPbO8
Source: Alexandria via LeMat-Bulk
Functional: GGA-PBE
Structure: optimized geometry

Cell and atoms, written as POSCAR:
```
B2OsPbO8
1.0
3.839 -2.530 0.000
3.839 2.530 0.000
-0.210 0.000 6.871
B Os Pb O
2 1 1 8
direct
0.141 0.141 0.268 B
0.859 0.859 0.732 B
0.500 0.500 0.500 Os
0.500 0.500 0.000 Pb
0.213 0.213 0.084 O
0.215 0.723 0.709 O
0.267 0.267 0.439 O
0.277 0.785 0.291 O
0.723 0.215 0.709 O
0.733 0.733 0.561 O
0.785 0.277 0.291 O
0.787 0.787 0.916 O
```

Formation energy without anion corrections in kJ/mol of atoms: -136.8
Total energy in eV/atom: -7.08